Density functional theory data (PBE) for a relaxed structure of As2IrOs.

- M_tot: 0.000 μB/atom
- Calculated density: 14.539 g/cm³
- Uncorrected energy: -6.980 eV per atom

Lattice parameters (Å, degrees): 3.157 3.157 6.101 90.00 90.00 90.00
Space group P4/mmm (No. 123)
One atom of each set of equivalent atoms:
As: 0.000 0.000 0.249 (multiplicity 2)
Ir: 0.500 0.500 0.500 (multiplicity 1)
Os: 0.500 0.500 0.000 (multiplicity 1)



Density functional theory data (PBE) for a relaxed structure of AsIrOs.

- M_tot: 0.000 μB/atom
- Calculated density: 16.206 g/cm³
- Uncorrected energy: -7.658 eV per atom

Lattice parameters (Å, degrees): 2.727 4.872 14.110 90.00 90.00 90.00
Space group Fmm2 (No. 42)
One atom of each set of equivalent atoms:
As: 0.000 0.000 0.000 (multiplicity 4)
Ir: 0.000 0.000 0.327 (multiplicity 4)
Os: 0.000 0.000 0.667 (multiplicity 4)



Density functional theory data (PBE) for a relaxed structure of AsIrOs.

- M_tot: 0.000 μB/atom
- Calculated density: 16.816 g/cm³
- Uncorrected energy: -7.835 eV per atom

Lattice parameters (Å, degrees): 2.892 2.892 10.797 90.00 90.00 90.00
Space group I4mm (No. 107)
One atom of each set of equivalent atoms:
As: 0.000 0.000 0.000 (multiplicity 2)
Ir: 0.000 0.000 0.323 (multiplicity 2)
Os: 0.000 0.000 0.657 (multiplicity 2)



Density functional theory data (PBE) for a relaxed structure of As2IrOs.

- M_tot: 0.000 μB/atom
- Calculated density: 13.948 g/cm³
- Uncorrected energy: -6.760 eV per atom

Lattice parameters (Å, degrees): 5.789 8.610 2.945 90.00 120.29 90.00
Space group C2/m (No. 12)
One atom of each set of equivalent atoms:
As: 0.250 0.250 0.000 (multiplicity 4)
Ir: 0.000 0.000 0.000 (multiplicity 2)
Os: 0.000 0.500 0.000 (multiplicity 2)



Density functional theory data (PBE) for a relaxed structure of As2IrOs.

- M_tot: 0.000 μB/atom
- Calculated density: 14.471 g/cm³
- Uncorrected energy: -7.119 eV per atom

Lattice parameters (Å, degrees): 8.070 3.001 5.164 90.00 102.36 90.00
Space group C2/m (No. 12)
One atom of each set of equivalent atoms:
As: 0.246 0.000 0.243 (multiplicity 4)
Ir: 0.000 0.000 0.500 (multiplicity 2)
Os: 0.000 0.500 0.000 (multiplicity 2)



Density functional theory data (PBE) for a relaxed structure of As4IrOs.

- M_tot: 0.000 μB/atom
- Calculated density: 10.968 g/cm³
- Uncorrected energy: -5.265 eV per atom

Lattice parameters (Å, degrees): 7.448 7.448 7.448 90.00 90.00 90.00
Space group F-43m (No. 216)
One atom of each set of equivalent atoms:
As: 0.125 0.125 0.125 (multiplicity 16)
Ir: 0.250 0.250 0.750 (multiplicity 4)
Os: 0.000 0.000 0.500 (multiplicity 4)



Density functional theory data (PBE) for a relaxed structure of As2IrOs.

- M_tot: 0.000 μB/atom
- Calculated density: 14.226 g/cm³
- Uncorrected energy: -7.169 eV per atom

Lattice parameters (Å, degrees): 3.046 3.908 5.219 90.00 90.00 90.00
Space group Pmm2 (No. 25)
One atom of each set of equivalent atoms:
As: 0.000 0.000 0.000 (multiplicity 1)
As: 0.500 0.500 0.364 (multiplicity 1)
Ir: 0.000 0.000 0.507 (multiplicity 1)
Os: 0.500 0.500 0.851 (multiplicity 1)



Density functional theory data (PBE) for a relaxed structure of As2IrOs.

- M_tot: 0.000 μB/atom
- Calculated density: 13.945 g/cm³
- Uncorrected energy: -6.746 eV per atom

Lattice parameters (Å, degrees): 2.885 5.024 8.746 90.00 90.00 90.00
Space group Cmmm (No. 65)
One atom of each set of equivalent atoms:
As: 0.000 0.000 0.245 (multiplicity 4)
Ir: 0.000 0.500 0.500 (multiplicity 2)
Os: 0.000 0.500 0.000 (multiplicity 2)



Density functional theory data (PBE) for a relaxed structure of AsIrOs.

- M_tot: 0.000 μB/atom
- Calculated density: 16.984 g/cm³
- Uncorrected energy: -7.933 eV per atom

Lattice parameters (Å, degrees): 2.8841 2.8841 6.2074 90.00 90.00 120.00
Space group P3m1 (No. 156)
One atom of each set of equivalent atoms:
As: 0.0000 0.0000 0.0000 (multiplicity 1)
Ir: 0.3333 0.6667 0.3353 (multiplicity 1)
Os: 0.6667 0.3333 0.6854 (multiplicity 1)



Density functional theory data (PBE) for a relaxed structure of AsIrOs.

- M_tot: 0.000 μB/atom
- Calculated density: 16.585 g/cm³
- Uncorrected energy: -7.696 eV per atom

Lattice parameters (Å, degrees): 2.879 4.103 7.753 90.00 90.00 90.00
Space group Imm2 (No. 44)
One atom of each set of equivalent atoms:
As: 0.000 0.000 0.000 (multiplicity 2)
Ir: 0.000 0.000 0.681 (multiplicity 2)
Os: 0.000 0.000 0.320 (multiplicity 2)



Density functional theory data (PBE) for a relaxed structure of As2IrOs.

- M_tot: 0.000 μB/atom
- Calculated density: 10.588 g/cm³
- Uncorrected energy: -7.101 eV per atom

Lattice parameters (Å, degrees): 5.509 5.509 11.003 90.00 90.00 90.00
Space group I-42d (No. 122)
One atom of each set of equivalent atoms:
As: 0.247 0.250 0.125 (multiplicity 8)
Ir: 0.000 0.000 0.500 (multiplicity 4)
Os: 0.000 0.000 0.000 (multiplicity 4)



Density functional theory data (PBE) for a relaxed structure of As2IrOs.

- M_tot: 0.000 μB/atom
- Calculated density: 14.466 g/cm³
- Uncorrected energy: -6.945 eV per atom

Lattice parameters (Å, degrees): 6.252 6.252 6.252 90.00 90.00 90.00
Space group Fm-3m (No. 225)
One atom of each set of equivalent atoms:
As: 0.250 0.250 0.250 (multiplicity 8)
Ir: 0.000 0.000 0.000 (multiplicity 4)
Os: 0.000 0.000 0.500 (multiplicity 4)



Density functional theory data (PBE) for a relaxed structure of As2IrOs.

- M_tot: 0.000 μB/atom
- Calculated density: 14.305 g/cm³
- Uncorrected energy: -6.829 eV per atom

Lattice parameters (Å, degrees): 3.736 3.736 8.852 90.00 90.00 90.00
Space group I-4m2 (No. 119)
One atom of each set of equivalent atoms:
As: 0.000 0.000 0.000 (multiplicity 2)
As: 0.000 0.500 0.250 (multiplicity 2)
Ir: 0.000 0.500 0.750 (multiplicity 2)
Os: 0.000 0.000 0.500 (multiplicity 2)



Density functional theory data (PBE) for a relaxed structure of As2IrOs.

- M_tot: 0.000 μB/atom
- Calculated density: 12.526 g/cm³
- Uncorrected energy: -7.243 eV per atom

Lattice parameters (Å, degrees): 2.919 2.919 8.281 90.00 90.00 90.00
Space group P4mm (No. 99)
One atom of each set of equivalent atoms:
As: 0.000 0.000 0.000 (multiplicity 1)
As: 0.500 0.500 0.387 (multiplicity 1)
Ir: 0.000 0.000 0.576 (multiplicity 1)
Os: 0.500 0.500 0.817 (multiplicity 1)



Density functional theory data (PBE) for a relaxed structure of As2IrOs.

- M_tot: 0.000 μB/atom
- Calculated density: 13.059 g/cm³
- Uncorrected energy: -7.113 eV per atom

Lattice parameters (Å, degrees): 7.935 3.544 4.969 90.00 104.39 90.00
Space group Cm (No. 8)
One atom of each set of equivalent atoms:
As: 0.000 0.000 0.000 (multiplicity 2)
As: 0.219 0.000 0.545 (multiplicity 2)
Ir: 0.024 0.500 0.625 (multiplicity 2)
Os: 0.233 0.500 0.201 (multiplicity 2)



Density functional theory data (PBE) for a relaxed structure of As6IrOs2.

- M_tot: 0.000 μB/atom
- Calculated density: 9.197 g/cm³
- Uncorrected energy: -6.477 eV per atom

Lattice parameters (Å, degrees): 5.650 5.650 11.563 90.00 90.00 90.00
Space group P4_2/mnm (No. 136)
One atom of each set of equivalent atoms:
As: 0.193 0.193 0.000 (multiplicity 4)
As: 0.195 0.195 0.332 (multiplicity 8)
Ir: 0.000 0.000 0.500 (multiplicity 2)
Os: 0.000 0.000 0.168 (multiplicity 4)



Density functional theory data (PBE) for a relaxed structure of As2IrOs.

- M_tot: 0.000 μB/atom
- Calculated density: 13.935 g/cm³
- Uncorrected energy: -6.946 eV per atom

Lattice parameters (Å, degrees): 3.027 4.370 9.592 90.00 90.00 90.00
Space group Imm2 (No. 44)
One atom of each set of equivalent atoms:
As: 0.000 0.000 0.000 (multiplicity 2)
As: 0.000 0.500 0.226 (multiplicity 2)
Ir: 0.000 0.500 0.724 (multiplicity 2)
Os: 0.000 0.000 0.512 (multiplicity 2)



Density functional theory data (PBE) for a relaxed structure of As2IrOs.

- M_tot: 0.000 μB/atom
- Calculated density: 14.457 g/cm³
- Uncorrected energy: -7.141 eV per atom

Lattice parameters (Å, degrees): 2.9926 2.9926 23.6494 90.00 90.00 120.00
Space group R-3m (No. 166, hexagonal axes)
One atom of each set of equivalent atoms:
As: 0.0000 0.0000 0.2476 (multiplicity 6)
Ir: 0.0000 0.0000 0.0000 (multiplicity 3)
Os: 0.0000 0.0000 0.5000 (multiplicity 3)



Density functional theory data (PBE) for a relaxed structure of As2IrOs.

- M_tot: 0.000 μB/atom
- Calculated density: 12.626 g/cm³
- Uncorrected energy: -6.953 eV per atom

Lattice parameters (Å, degrees): 2.791 4.922 10.193 90.00 90.00 90.00
Space group Cmm2 (No. 35)
One atom of each set of equivalent atoms:
As: 0.000 0.000 0.000 (multiplicity 2)
As: 0.000 0.500 0.348 (multiplicity 2)
Ir: 0.000 0.500 0.786 (multiplicity 2)
Os: 0.000 0.000 0.558 (multiplicity 2)



Density functional theory data (PBE) for a relaxed structure of As2IrOs.

- M_tot: 0.000 μB/atom
- Calculated density: 12.030 g/cm³
- Uncorrected energy: -7.169 eV per atom

Lattice parameters (Å, degrees): 2.9163 2.9163 29.9272 90.00 90.00 120.00
Space group R3m (No. 160, hexagonal axes)
One atom of each set of equivalent atoms:
As: 0.0000 0.0000 0.0000 (multiplicity 3)
As: 0.0000 0.0000 0.2025 (multiplicity 3)
Ir: 0.0000 0.0000 0.7311 (multiplicity 3)
Os: 0.0000 0.0000 0.4747 (multiplicity 3)



Density functional theory data (PBE) for a relaxed structure of As2IrOs.

- M_tot: 0.000 μB/atom
- Calculated density: 13.978 g/cm³
- Uncorrected energy: -6.747 eV per atom

Lattice parameters (Å, degrees): 2.874 4.359 5.047 90.00 90.00 90.00
Space group Pmmm (No. 47)
One atom of each set of equivalent atoms:
As: 0.000 0.000 0.000 (multiplicity 1)
As: 0.500 0.000 0.500 (multiplicity 1)
Ir: 0.000 0.500 0.500 (multiplicity 1)
Os: 0.500 0.500 0.000 (multiplicity 1)



Density functional theory data (PBE) for a relaxed structure of AsIrOsSe2.

- M_tot: 0.000 μB/atom
- Calculated density: 9.451 g/cm³
- Raw formation energy: 30.2 kcal/mol of atoms
- Uncorrected energy: -5.031 eV per atom

Lattice parameters (Å, degrees): 4.822 4.822 4.649 90.00 90.00 90.00
Space group P4/mmm (No. 123)
One atom of each set of equivalent atoms:
As: 0.000 0.000 0.000 (multiplicity 1)
Ir: 0.500 0.500 0.000 (multiplicity 1)
Os: 0.000 0.000 0.500 (multiplicity 1)
Se: 0.000 0.500 0.500 (multiplicity 2)



Density functional theory data (PBE) for a relaxed structure of As2IrOsSe.

- M_tot: 0.000 μB/atom
- Calculated density: 9.458 g/cm³
- Raw formation energy: 28.1 kcal/mol of atoms
- Uncorrected energy: -5.354 eV per atom

Lattice parameters (Å, degrees): 4.643 4.643 4.979 90.00 90.00 90.00
Space group P4/mmm (No. 123)
One atom of each set of equivalent atoms:
As: 0.000 0.500 0.000 (multiplicity 2)
Ir: 0.000 0.000 0.500 (multiplicity 1)
Os: 0.500 0.500 0.000 (multiplicity 1)
Se: 0.500 0.500 0.500 (multiplicity 1)



Density functional theory data (PBE) for a relaxed structure of Zr2AsIrOs.

- M_tot: 0.000 μB/atom
- Calculated density: 8.881 g/cm³
- Uncorrected energy: -7.758 eV per atom

Lattice parameters (Å, degrees): 5.038 5.038 4.713 90.00 90.00 90.00
Space group P4/mmm (No. 123)
One atom of each set of equivalent atoms:
Zr: 0.000 0.500 0.000 (multiplicity 2)
As: 0.000 0.000 0.500 (multiplicity 1)
Ir: 0.500 0.500 0.500 (multiplicity 1)
Os: 0.500 0.500 0.000 (multiplicity 1)



Density functional theory data (PBE) for a relaxed structure of AsPIr.

- M_tot: 0.000 μB/atom
- Calculated density: 9.684 g/cm³
- Uncorrected energy: -6.396 eV per atom

Lattice parameters (Å, degrees): 3.4327 3.4327 5.0091 90.00 90.00 120.00
Space group P3m1 (No. 156)
One atom of each set of equivalent atoms:
As: 0.0000 0.0000 0.0000 (multiplicity 1)
P: 0.3333 0.6667 0.5866 (multiplicity 1)
Ir: 0.6667 0.3333 0.3367 (multiplicity 1)



Density functional theory data (PBE) for a relaxed structure of AsPIr2.

- M_tot: 0.000 μB/atom
- Calculated density: 11.947 g/cm³
- Uncorrected energy: -6.678 eV per atom

Lattice parameters (Å, degrees): 2.792 4.899 9.963 90.00 90.00 90.00
Space group Cmm2 (No. 35)
One atom of each set of equivalent atoms:
As: 0.000 0.000 0.000 (multiplicity 2)
P: 0.000 0.500 0.648 (multiplicity 2)
Ir: 0.000 0.000 0.456 (multiplicity 2)
Ir: 0.000 0.500 0.213 (multiplicity 2)



Density functional theory data (PBE) for a relaxed structure of AsPIr4.

- M_tot: 0.000 μB/atom
- Calculated density: 14.441 g/cm³
- Uncorrected energy: -6.777 eV per atom

Lattice parameters (Å, degrees): 7.382 7.382 7.382 90.00 90.00 90.00
Space group F-43m (No. 216)
One atom of each set of equivalent atoms:
As: 0.000 0.000 0.000 (multiplicity 4)
P: 0.250 0.250 0.250 (multiplicity 4)
Ir: 0.125 0.125 0.625 (multiplicity 16)



Density functional theory data (PBE) for a relaxed structure of AsPIr2.

- M_tot: 0.000 μB/atom
- Calculated density: 13.255 g/cm³
- Uncorrected energy: -6.340 eV per atom

Lattice parameters (Å, degrees): 6.263 6.263 6.263 90.00 90.00 90.00
Space group F-43m (No. 216)
One atom of each set of equivalent atoms:
As: 0.000 0.000 0.000 (multiplicity 4)
P: 0.250 0.250 0.250 (multiplicity 4)
Ir: 0.000 0.000 0.500 (multiplicity 4)
Ir: 0.250 0.250 0.750 (multiplicity 4)



Density functional theory data (PBE) for a relaxed structure of AsPIr2.

- M_tot: 0.000 μB/atom
- Calculated density: 12.138 g/cm³
- Uncorrected energy: -7.219 eV per atom

Lattice parameters (Å, degrees): 4.277 3.528 4.447 90.00 91.61 90.00
Space group Pm (No. 6)
One atom of each set of equivalent atoms:
As: 0.000 0.000 0.000 (multiplicity 1)
P: 0.504 0.500 0.694 (multiplicity 1)
Ir: 0.220 0.000 0.499 (multiplicity 1)
Ir: 0.692 0.500 0.210 (multiplicity 1)



Density functional theory data (PBE) for a relaxed structure of AsPIr2.

- M_tot: 0.000 μB/atom
- Calculated density: 12.305 g/cm³
- Uncorrected energy: -7.094 eV per atom

Lattice parameters (Å, degrees): 7.693 3.308 5.268 90.00 99.22 90.00
Space group Cm (No. 8)
One atom of each set of equivalent atoms:
As: 0.000 0.000 0.000 (multiplicity 2)
P: 0.199 0.000 0.544 (multiplicity 2)
Ir: 0.237 0.500 0.242 (multiplicity 2)
Ir: 0.498 0.000 0.600 (multiplicity 2)